1.
# KSbAsSe3

A relaxed structure of KSbAsSe3 (PBE, the Alexandria database).

Cell: 9.119 4.283 9.923 Å, 90.00 93.30 90.00°
Sites, in units of the cell vectors:
K1 0.144 0.250 0.234
K2 0.856 0.750 0.766
Sb1 0.380 0.750 0.860
Sb2 0.620 0.250 0.140
As1 0.137 0.250 0.605
As2 0.863 0.750 0.395
Se1 0.158 0.250 0.858
Se2 0.275 0.750 0.560
Se3 0.403 0.750 0.137
Se4 0.597 0.250 0.863
Se5 0.725 0.250 0.440
Se6 0.842 0.750 0.142

Output
Energy relative to the elements, uncorrected in eV per atom: -0.407
Magnetic moment in μB per formula unit: 0.000
Space-group type: P2_1/m (11)
N(E_F) in states/eV/atom: 0.157
Total DFT energy (no corrections) in eV/atom: -3.794


2.
# KSbAsSe2

A relaxed structure of KSbAsSe2 (PBE, the Alexandria database).

Cell: 5.502 5.502 5.366 Å, 90.00 90.00 90.00°
Sites, in units of the cell vectors:
K1 0.000 0.000 0.000
Sb1 0.500 0.500 0.500
As1 0.500 0.500 0.000
Se1 0.000 0.500 0.500
Se2 0.500 0.000 0.500

Output
Energy relative to the elements, uncorrected in eV per atom: -0.020
Magnetic moment in μB per formula unit: 1.193
Space-group type: P4/mmm (123)
N(E_F) in states/eV/atom: 0.731
Total DFT energy (no corrections) in eV/atom: -3.388


3.
# K2SbAsSe4

A relaxed structure of K2SbAsSe4 (PBE, the Alexandria database).

Cell: 8.623 8.623 8.623 Å, 120.80 119.20 90.00°
Sites, in units of the cell vectors:
K1 0.000 0.000 0.000
K2 0.500 0.000 0.000
K3 0.500 0.000 0.500
K4 0.500 0.500 0.500
Sb1 0.000 0.500 0.500
Sb2 0.500 0.500 0.000
As1 0.000 0.000 0.500
As2 0.000 0.500 0.000
Se1 0.200 0.740 0.460
Se2 0.220 0.260 0.960
Se3 0.229 0.250 0.521
Se4 0.229 0.708 0.979
Se5 0.771 0.292 0.021
Se6 0.771 0.750 0.479
Se7 0.780 0.740 0.040
Se8 0.800 0.260 0.540

Output
Energy relative to the elements, uncorrected in eV per atom: -0.575
Magnetic moment in μB per formula unit: 0.000
Space-group type: Imma (74)
Total DFT energy (no corrections) in eV/atom: -3.688


4.
# K2TcSbAs

A relaxed structure of K2TcSbAs (PBE, the Alexandria database).

Cell: 6.718 6.718 5.282 Å, 90.00 90.00 90.00°
Sites, in units of the cell vectors:
K1 0.000 0.500 0.000
K2 0.500 0.000 0.000
Tc1 0.000 0.000 0.500
Sb1 0.500 0.500 0.000
As1 0.500 0.500 0.500

Output
Energy relative to the elements, uncorrected in eV per atom: 1.119
Magnetic moment in μB per formula unit: 4.361
Space-group type: P4/mmm (123)
N(E_F) in states/eV/atom: 2.773
Total DFT energy (no corrections) in eV/atom: -3.148


Which value of energy relative to the elements, uncorrected does entry 4 give?
1.119 eV per atom


The highest magnetic moment belongs to which entry?
K2TcSbAs


magnetic moment of number 1 (KSbAsSe3)?
0.000 μB per formula unit